## KCaMoF6 (GGA+U)

Data for a relaxed KCaMoF6 crystal.

Values from the calculation:
- Symmetry: No. 163
- Final energy: -5.4864 eV per atom
- Calculated volume: 166 Å³/f.u.
- Crystal system: trigonal
- Total magnetic moment: 3.0 μB per formula unit

Cell: 5.9666 5.9666 10.7557 Å, 90.00 90.00 120.00°
Closest atoms and distances in Å follow each position.
Element x y z (fractional)
F: 0.3549 0.3773 0.8534  1 Mo 2.11, 1 Ca 2.29
F: 0.6227 0.6451 0.6466  1 Mo 2.11, 1 Ca 2.29
F: 0.6451 0.6227 0.1466  1 Mo 2.11, 1 Ca 2.29
F: 0.6227 0.9776 0.8534  1 Mo 2.11, 1 Ca 2.29
F: 0.6451 0.0224 0.3534  1 Mo 2.11, 1 Ca 2.29
F: 0.9776 0.3549 0.1466  1 Mo 2.11, 1 Ca 2.29
F: 0.9776 0.6227 0.3534  1 Mo 2.11, 1 Ca 2.29
F: 0.3773 0.3549 0.3534  1 Mo 2.11, 1 Ca 2.29
F: 0.3549 0.9776 0.6466  1 Mo 2.11, 1 Ca 2.29
F: 0.0224 0.6451 0.8534  1 Mo 2.11, 1 Ca 2.29
F: 0.3773 0.0224 0.1466  1 Mo 2.11, 1 Ca 2.29
F: 0.0224 0.3773 0.6466  1 Mo 2.11, 1 Ca 2.29
Ca: 0.6667 0.3333 0.7500  6 F 2.29
Ca: 0.3333 0.6667 0.2500  6 F 2.29
Mo: 0.6667 0.3333 0.2500  6 F 2.11
Mo: 0.3333 0.6667 0.7500  6 F 2.11
K: 0.0000 0.0000 0.5000  6 F 2.70
K: 0.0000 0.0000 0.0000  6 F 2.70